Record 1
CaPr5Pb3 after structural relaxation. Source: Alexandria, functional GGA-PBE.

The structure belongs to space group P6_3/mcm (No. 193); the cell edges are 9.8264, 9.8264 and 6.8968 Å and the angles 90.00°, 90.00° and 120.00°. The distinct sites, in fractional coordinates, are Ca at (0.0000, 0.0000, 0.0000), Pr at (0.0000, 0.3323, 0.2500), Pr at (0.3333, 0.6667, 0.0000) and Pb at (0.0000, 0.3353, 0.7500).

The formation energy from the elements comes out at -0.453 eV/atom.


Record 2
CaPr8Pb6 after structural relaxation. Source: Alexandria, functional GGA-PBE.

The structure belongs to space group R-3 (No. 148, hexagonal axes); the cell edges are 9.6173, 9.6173 and 20.0106 Å and the angles 90.00°, 90.00° and 120.00°. The distinct sites, in fractional coordinates, are Ca at (0.0000, 0.0000, 0.0000), Pr at (0.0000, 0.0000, 0.3336), Pr at (0.0003, 0.3308, 0.0982) and Pb at (0.0005, 0.3346, 0.9283).

The formation energy from the elements comes out at -0.428 eV/atom.


Record 3
Ca2PrPb after structural relaxation. Source: Alexandria, functional GGA-PBE.

The structure belongs to space group Fm-3m (No. 225); the cell edges are 8.0585, 8.0585 and 8.0585 Å and the angles 90.00°, 90.00° and 90.00°. The distinct sites, in fractional coordinates, are Ca at (0.2500, 0.2500, 0.2500), Pr at (0.0000, 0.0000, 0.0000) and Pb at (0.0000, 0.0000, 0.5000).

The calculation puts the relative energy among the computed polymorphs at 0.236 eV per atom. The formation energy from the elements comes out at -0.084 eV/atom.


Record 4
Ca2PrPb5 after structural relaxation. Source: Alexandria, functional GGA-PBE.

The structure belongs to space group I4mm (No. 107); the cell edges are 8.0922, 8.0922 and 7.5020 Å and the angles 90.00°, 90.00° and 90.00°. The distinct sites, in fractional coordinates, are Ca at (0.0000, 0.5000, 0.0000), Pr at (0.0000, 0.0000, 0.0005), Pb at (0.0000, 0.0000, 0.4997) and Pb at (0.2502, 0.2502, 0.2500).

The formation energy from the elements comes out at -0.401 eV/atom.


Record 5
Ca2PrPb after structural relaxation. Source: Alexandria, functional GGA-PBE.

The structure belongs to space group F-43m (No. 216); the cell edges are 8.0693, 8.0693 and 8.0693 Å and the angles 90.00°, 90.00° and 90.00°. The distinct sites, in fractional coordinates, are Ca at (0.0000, 0.0000, 0.0000), Ca at (0.2500, 0.2500, 0.2500), Pr at (0.0000, 0.0000, 0.5000) and Pb at (0.2500, 0.2500, 0.7500).

The calculation puts the relative energy among the computed polymorphs at 0.127 eV per atom. The formation energy from the elements comes out at -0.192 eV/atom.


Record 6
CaPr2Pb3 after structural relaxation. Source: Alexandria, functional GGA-PBE.

The structure belongs to space group Cmmm (No. 65); the cell edges are 5.1353, 15.5412 and 9.2088 Å and the angles 90.00°, 90.00° and 90.00°. The distinct sites, in fractional coordinates, are Ca at (0.0000, 0.1697, 0.0000), Pr at (0.0000, 0.1690, 0.5000), Pr at (0.0000, 0.5000, 0.0000), Pr at (0.0000, 0.5000, 0.5000), Pb at (0.0000, 0.0000, 0.2481) and Pb at (0.0000, 0.3337, 0.2470).

The calculation puts the relative energy among the computed polymorphs at 0.000 eV per atom. The formation energy from the elements comes out at -0.526 eV/atom.


Record 7
CaPrPtPb after structural relaxation. Source: Alexandria, functional GGA-PBE.

The structure belongs to space group F-43m (No. 216); the cell edges are 7.5073, 7.5073 and 7.5073 Å and the angles 90.00°, 90.00° and 90.00°. The distinct sites, in fractional coordinates, are Ca at (0.0000, 0.0000, 0.0000), Pr at (0.0000, 0.0000, 0.5000), Pt at (0.2500, 0.2500, 0.7500) and Pb at (0.2500, 0.2500, 0.2500).

The formation energy from the elements comes out at -0.664 eV/atom.


Record 8
CaPrRhPb after structural relaxation. Source: Alexandria, functional GGA-PBE.

The structure belongs to space group F-43m (No. 216); the cell edges are 7.4563, 7.4563 and 7.4563 Å and the angles 90.00°, 90.00° and 90.00°. The distinct sites, in fractional coordinates, are Ca at (0.0000, 0.0000, 0.0000), Pr at (0.0000, 0.0000, 0.5000), Rh at (0.2500, 0.2500, 0.2500) and Pb at (0.2500, 0.2500, 0.7500).

The formation energy from the elements comes out at -0.404 eV/atom.


Record 9
Ca3PrPb2S after structural relaxation. Source: Alexandria, functional GGA-PBE.

The structure belongs to space group Immm (No. 71); the cell edges are 5.2070, 5.4670 and 16.5061 Å and the angles 90.00°, 90.00° and 90.00°. The distinct sites, in fractional coordinates, are Ca at (0.0000, 0.0000, 0.0000), Ca at (0.0000, 0.5000, 0.3240), Pr at (0.0000, 0.0000, 0.5000), Pb at (0.0000, 0.5000, 0.1303) and S at (0.0000, 0.5000, 0.5000).

Its formation energy without anion corrections is -577 kJ/mol of formula units.


Record 10
Ca2PrPbSe4 after structural relaxation. Source: Alexandria, functional GGA-PBE.

The structure belongs to space group P2/m (No. 10); the cell edges are 7.4258, 4.2391 and 7.4466 Å and the angles 90.00°, 109.20° and 90.00°. The distinct sites, in fractional coordinates, are Ca at (0.0000, 0.0000, 0.0000), Ca at (0.0000, 0.5000, 0.5000), Pr at (0.5000, 0.0000, 0.5000), Pb at (0.5000, 0.5000, 0.0000), Se at (0.2398, 0.0000, 0.7423) and Se at (0.2404, 0.5000, 0.2487).

Its formation energy without anion corrections is -1200 kJ/mol of formula units.


Record 11
Ca2PrTe4Pb after structural relaxation. Source: Alexandria, functional GGA-PBE.

The structure belongs to space group P2/m (No. 10); the cell edges are 7.8992, 4.5158 and 7.9400 Å and the angles 90.00°, 109.21° and 90.00°. The distinct sites, in fractional coordinates, are Ca at (0.0000, 0.0000, 0.0000), Ca at (0.0000, 0.5000, 0.5000), Pr at (0.5000, 0.0000, 0.5000), Te at (0.2434, 0.0000, 0.7461), Te at (0.2436, 0.5000, 0.2480) and Pb at (0.5000, 0.5000, 0.0000).

Its formation energy without anion corrections is -952 kJ/mol of formula units.


Record 12
CaPrZnPb after structural relaxation. Source: Alexandria, functional GGA-PBE.

The structure belongs to space group F-43m (No. 216); the cell edges are 7.6757, 7.6757 and 7.6757 Å and the angles 90.00°, 90.00° and 90.00°. The distinct sites, in fractional coordinates, are Ca at (0.0000, 0.0000, 0.0000), Pr at (0.0000, 0.0000, 0.5000), Zn at (0.2500, 0.2500, 0.2500) and Pb at (0.2500, 0.2500, 0.7500).

The formation energy from the elements comes out at -0.396 eV/atom.


Record 13
Ca3Pt8Pb after structural relaxation. Source: Alexandria, functional GGA-PBE.

The structure belongs to space group R3m (No. 160, hexagonal axes); the cell edges are 5.4690, 5.4690 and 26.6316 Å and the angles 90.00°, 90.00° and 120.00°. The distinct sites, in fractional coordinates, are Ca at (0.0000, 0.0000, 0.0000), Ca at (0.0000, 0.0000, 0.1262), Ca at (0.0000, 0.0000, 0.6231), Pt at (0.0000, 0.0000, 0.3126), Pt at (0.0000, 0.0000, 0.8124), Pt at (0.9996, 0.4998, 0.0619), Pt at (0.0006, 0.5003, 0.5631) and Pb at (0.0000, 0.0000, 0.4989).

The formation energy from the elements comes out at -0.781 eV/atom.


Record 14
CaPt2Pb2 after structural relaxation. Source: Alexandria, functional GGA-PBE.

The structure belongs to space group I4/mmm (No. 139); the cell edges are 4.5947, 4.5947 and 11.9281 Å and the angles 90.00°, 90.00° and 90.00°. The distinct sites, in fractional coordinates, are Ca at (0.0000, 0.0000, 0.0000), Pt at (0.0000, 0.0000, 0.3916) and Pb at (0.0000, 0.5000, 0.2500).

The formation energy from the elements comes out at -0.380 eV/atom.


Record 15
CaPtPb after structural relaxation. Source: Alexandria, functional GGA-PBE.

The structure belongs to space group Pbcm (No. 57); the cell edges are 5.5854, 8.1322 and 6.5528 Å and the angles 90.00°, 90.00° and 90.00°. The distinct sites, in fractional coordinates, are Ca at (0.1572, 0.0999, 0.2500), Pt at (0.3384, 0.0534, 0.7500) and Pb at (0.3480, 0.7500, 0.0000).

The formation energy from the elements comes out at -0.605 eV/atom.


Record 16
Ca5Pt2Pb after structural relaxation. Source: Alexandria, functional GGA-PBE.

The structure belongs to space group I4/mcm (No. 140); the cell edges are 7.9033, 7.9033 and 14.4794 Å and the angles 90.00°, 90.00° and 90.00°. The distinct sites, in fractional coordinates, are Ca at (0.0000, 0.0000, 0.0000), Ca at (0.1687, 0.3313, 0.1328), Pt at (0.1268, 0.3732, 0.5000) and Pb at (0.0000, 0.0000, 0.2500).

The formation energy from the elements comes out at -0.778 eV/atom.


Record 17
CaPtPb after structural relaxation. Source: Alexandria, functional GGA-PBE.

The structure belongs to space group Pnma (No. 62); the cell edges are 7.2653, 4.6949 and 8.4639 Å and the angles 90.00°, 90.00° and 90.00°. The distinct sites, in fractional coordinates, are Ca at (0.0201, 0.2500, 0.1889), Pt at (0.2303, 0.7500, 0.3932) and Pb at (0.1700, 0.2500, 0.5738).

The formation energy from the elements comes out at -0.703 eV/atom.


Record 18
Ca5Pt4Pb after structural relaxation. Source: Alexandria, functional GGA-PBE.

The structure belongs to space group P4/mmm (No. 123); the cell edges are 3.4951, 3.4951 and 19.0306 Å and the angles 90.00°, 90.00° and 90.00°. The distinct sites, in fractional coordinates, are Ca at (0.0000, 0.0000, 0.0000), Ca at (0.0000, 0.0000, 0.1833), Ca at (0.0000, 0.0000, 0.3668), Pt at (0.5000, 0.5000, 0.0924), Pt at (0.5000, 0.5000, 0.2774) and Pb at (0.5000, 0.5000, 0.5000).

The formation energy from the elements comes out at -0.801 eV/atom.


Record 19
CaPt3Pb after structural relaxation. Source: Alexandria, functional GGA-PBE.

The structure belongs to space group Pm-3m (No. 221); the cell edges are 5.1013, 5.1013 and 5.1013 Å and the angles 90.00°, 90.00° and 90.00°. The distinct sites, in fractional coordinates, are Ca at (0.0000, 0.0000, 0.0000), Pt at (0.0000, 0.5000, 0.5000) and Pb at (0.5000, 0.5000, 0.5000).

The calculation puts the relative energy among the computed polymorphs at 0.000 eV per atom. The formation energy from the elements comes out at 0.317 eV/atom.


Record 20
CaPtPb3 after structural relaxation. Source: Alexandria, functional GGA-PBE.

The structure belongs to space group Pm-3m (No. 221); the cell edges are 5.7052, 5.7052 and 5.7052 Å and the angles 90.00°, 90.00° and 90.00°. The distinct sites, in fractional coordinates, are Ca at (0.0000, 0.0000, 0.0000), Pt at (0.5000, 0.5000, 0.5000) and Pb at (0.0000, 0.0000, 0.5000).

The formation energy from the elements comes out at 1.073 eV/atom.


no.,uncorrected energy (Ha/atom),N(E_F) (states/eV/f.u.),spin magnetization (μB/f.u.)
1,-0.168,8.8,2.1
2,-0.169,7.9,0.0
3,-0.118,4.6,2.5
4,-0.140,4.1,0.0
5,-0.122,3.6,0.0
6,-0.158,3.5,0.0
7,-0.176,2.8,0.0
8,-0.179,2.2,0.0
9,-0.149,4.1,0.0
10,-0.179,3.3,0.0
11,-0.160,3.2,0.0
12,-0.123,3.7,0.0
13,-0.206,8.0,0.0
14,-0.172,3.3,0.0
15,-0.166,1.9,0.0
16,-0.147,2.9,0.0
17,-0.170,1.6,0.0
18,-0.169,2.7,0.0
19,-0.164,2.6,0.0
20,-0.101,1.7,0.0